No. 1
A plane-wave DFT calculation with PBE was carried out for a geometry-optimized CdMoAu structure.

Unit cell a=4.4622 b=4.4622 c=4.4622 alpha=60.00 beta=60.00 gamma=60.00
Last column: nearest neighbours and their distance in Å.
Sites, in units of the cell vectors:
Au1 0.7500 0.7500 0.7500  4 Cd 2.73, 4 Mo 2.73
Cd1 0.0000 0.0000 0.0000  4 Au 2.73
Mo1 0.5000 0.5000 0.5000  4 Au 2.73

## Properties
volume: 20.94 A^3/atom
SG: F-43m (216)
distance to the lowest polymorph of the same formula: 501.3 meV per atom
final energy: -12.8 eV for the cell shown


No. 2
A plane-wave DFT calculation with PBE was carried out for a geometry-optimized CdMoAu2 structure.

Unit cell a=4.8486 b=4.8486 c=4.8486 alpha=125.50 beta=125.51 gamma=80.71
Last column: nearest neighbours and their distance in Å.
Sites, in units of the cell vectors:
Au1 0.0001 0.0001 0.0000  4 Mo 2.89, 4 Cd 2.89, 4 Au 3.14
Mo1 0.7500 0.2500 0.5000  8 Au 2.89, 4 Cd 3.14
Cd1 0.2500 0.7500 0.5000  8 Au 2.89, 4 Mo 3.14
Au2 0.4999 0.4999 0.0000  4 Mo 2.89, 4 Cd 2.89, 4 Au 3.14

## Properties
volume: 18.21 A^3/atom
SG: I4/mmm (139)
final energy: -17.1 eV for the cell shown


No. 3
A plane-wave DFT calculation with PBE was carried out for a geometry-optimized Cd2MoAu structure.

Unit cell a=5.8737 b=5.8737 c=5.8737 alpha=151.59 beta=128.11 gamma=60.21
Last column: nearest neighbours and their distance in Å.
Sites, in units of the cell vectors:
Cd1 0.0038 0.0038 0.0000  6 Cd 2.88-2.95, 2 Au 2.89, 2 Mo 2.95
Au1 0.2500 0.7500 0.5000  2 Au 2.88, 4 Cd 2.89, 4 Mo 2.95
Mo1 0.7500 0.2500 0.5000  2 Mo 2.88, 4 Au 2.95, 4 Cd 2.95
Cd2 0.4962 0.4962 0.0000  6 Cd 2.88-2.95, 2 Au 2.89, 2 Mo 2.95

## Properties
volume: 18.82 A^3/atom
SG: Immm (71)
distance to the lowest polymorph of the same formula: 160.7 meV per atom
final energy: -14.6 eV for the cell shown


No. 4
A plane-wave DFT calculation with PBE was carried out for a geometry-optimized CdMoAu2 structure.

Unit cell a=2.8157 b=5.1394 c=5.0561 alpha=90.00 beta=90.00 gamma=90.00
Last column: nearest neighbours and their distance in Å.
Sites, in units of the cell vectors:
Cd1 0.5000 0.0000 0.5000  2 Cd 2.82, 4 Au 2.89, 4 Mo 2.93
Au1 0.0000 0.0000 0.0000  6 Au 2.82-2.93, 4 Cd 2.89
Au2 0.5000 0.5000 0.0000  6 Au 2.82-2.93, 4 Mo 2.89
Mo1 0.0000 0.5000 0.5000  2 Mo 2.82, 4 Au 2.89, 4 Cd 2.93

## Properties
volume: 18.29 A^3/atom
SG: Pmmm (47)
final energy: -16.8 eV for the cell shown


No. 5
A plane-wave DFT calculation with PBE was carried out for a geometry-optimized CdMoAu2 structure.

Unit cell a=5.0279 b=5.0279 c=5.3009 alpha=82.19 beta=82.19 gamma=32.66
Last column: nearest neighbours and their distance in Å.
Sites, in units of the cell vectors:
Cd1 0.5024 0.5024 0.5108  2 Cd 2.83, 7 Au 2.83-3.06, 3 Mo 3.00-3.03
Au1 0.7508 0.7508 0.7384  5 Au 2.83-3.05, 3 Cd 2.83-2.92, 4 Mo 2.95-3.06
Au2 0.9958 0.9958 0.0236  3 Mo 2.83, 5 Au 2.83-3.05, 4 Cd 2.95-3.06
Mo1 0.2510 0.2510 0.2272  7 Au 2.83-3.06, 2 Mo 2.83, 3 Cd 3.00-3.03

## Properties
volume: 17.90 A^3/atom
SG: Cm (8)
final energy: -17.3 eV for the cell shown


No. 6
A plane-wave DFT calculation with PBE was carried out for a geometry-optimized Cd2MoAu structure.

Unit cell a=4.9285 b=4.9285 c=4.9285 alpha=125.71 beta=125.71 gamma=80.37
Last column: nearest neighbours and their distance in Å.
Sites, in units of the cell vectors:
Au1 0.7500 0.2500 0.5000  8 Cd 2.93-3.18, 4 Mo 2.93
Cd1 0.0000 0.0000 0.0000  4 Au 2.93, 4 Cd 2.93, 4 Mo 3.18
Cd2 0.2500 0.7500 0.5000  4 Cd 2.93, 4 Mo 2.93, 4 Au 3.18
Mo1 0.5000 0.5000 0.0000  8 Cd 2.93-3.18, 4 Au 2.93

## Properties
volume: 19.04 A^3/atom
SG: I-4m2 (119)
distance to the lowest polymorph of the same formula: 209.5 meV per atom
final energy: -14.4 eV for the cell shown